A plane-wave DFT calculation with PBE-GGA was carried out for a relaxed structure of Sm3ErTh2.

abc: 9.3850 9.3850 6.6278
angles: 90.03 90.03 136.80
Closest atoms and distances in Å follow each position.
Fractional positions:
Sm 0.0765 0.4263 0.7506  5 Sm 3.43-3.77, 2 Th 3.47-3.48, 3 Er 3.57-3.77
Sm 0.1469 0.8531 0.7500  2 Er 3.45, 4 Th 3.52, 6 Sm 3.55-3.77
Sm 0.4263 0.0765 0.2506  5 Sm 3.43-3.77, 2 Th 3.47-3.48, 3 Er 3.57-3.77
Sm 0.5737 0.9235 0.7494  5 Sm 3.43-3.77, 2 Th 3.47-3.48, 3 Er 3.57-3.77
Sm 0.8531 0.1469 0.2500  2 Er 3.45, 4 Th 3.52, 6 Sm 3.55-3.77
Sm 0.9235 0.5737 0.2494  5 Sm 3.43-3.77, 2 Th 3.47-3.48, 3 Er 3.57-3.77
Er 0.3538 0.6462 0.2500  8 Sm 3.45-3.77, 4 Th 3.49
Er 0.6462 0.3538 0.7500  8 Sm 3.45-3.77, 4 Th 3.49
Th 0.2529 0.2526 0.0008  4 Th 3.31-3.49, 4 Sm 3.47-3.52, 2 Er 3.49
Th 0.2526 0.2529 0.5008  4 Th 3.31-3.49, 4 Sm 3.47-3.52, 2 Er 3.49
Th 0.7474 0.7471 0.4992  4 Th 3.31-3.49, 4 Sm 3.47-3.52, 2 Er 3.49
Th 0.7471 0.7474 0.9992  4 Th 3.31-3.49, 4 Sm 3.47-3.52, 2 Er 3.49

Calculated values
For the energy relative to the elements, the calculation gives 1.0 eV/f.u. As for the energy above the most stable polymorph in this dataset: 0.1352 eV/atom.

A plane-wave DFT calculation with PBE-GGA was carried out for a relaxed structure of Sm6Er4Th.

abc: 5.6347 5.6347 25.7327
angles: 90.00 90.00 117.94
Closest atoms and distances in Å follow each position.
Fractional positions:
Sm 0.0000 0.0000 0.0000  8 Er 3.20-3.53
Sm 0.0000 0.0000 0.5000  8 Er 3.20-3.53
Sm 0.0483 0.9517 0.7500  2 Er 3.26, 3 Th 3.27-3.29, 2 Sm 3.64
Sm 0.2984 0.7016 0.1002  7 Er 3.33-3.72
Sm 0.2984 0.7016 0.3998  7 Er 3.33-3.72
Sm 0.3779 0.6221 0.6814  5 Sm 3.53-3.78, 4 Er 3.54-3.65, 3 Th 3.66-3.77
Sm 0.3779 0.6221 0.8186  5 Sm 3.53-3.78, 4 Er 3.54-3.65, 3 Th 3.66-3.77
Sm 0.6221 0.3779 0.1814  5 Sm 3.53-3.78, 4 Er 3.54-3.65, 3 Th 3.66-3.77
Sm 0.6221 0.3779 0.3186  5 Sm 3.53-3.78, 4 Er 3.54-3.65, 3 Th 3.66-3.77
Sm 0.7016 0.2984 0.6002  7 Er 3.33-3.72
Sm 0.7016 0.2984 0.8998  7 Er 3.33-3.72
Sm 0.9517 0.0483 0.2500  2 Er 3.26, 3 Th 3.27-3.29, 2 Sm 3.64
Er 0.0455 0.9545 0.6233  6 Sm 3.20-3.54
Er 0.0455 0.9545 0.8767  6 Sm 3.20-3.54
Er 0.3482 0.6518 0.5423  8 Sm 3.43-3.72, 2 Er 3.59-3.65
Er 0.3482 0.6518 0.9577  8 Sm 3.43-3.72, 2 Er 3.59-3.65
Er 0.6518 0.3482 0.0423  8 Sm 3.43-3.72, 2 Er 3.59-3.65
Er 0.6518 0.3482 0.4577  8 Sm 3.43-3.72, 2 Er 3.59-3.65
Er 0.9545 0.0455 0.1233  6 Sm 3.20-3.54
Er 0.9545 0.0455 0.3767  6 Sm 3.20-3.54
Th 0.2907 0.7093 0.2500  5 Sm 3.27-3.66
Th 0.7093 0.2907 0.7500  5 Sm 3.27-3.66

Calculated values
For the energy relative to the elements, the calculation gives 1.6 eV/f.u.

A plane-wave DFT calculation with PBE-GGA was carried out for a relaxed structure of Sm2Er2Th3.

abc: 8.4900 8.4900 8.7418
angles: 117.11 117.11 23.91
Closest atoms and distances in Å follow each position.
Fractional positions:
Sm 0.0746 0.0746 0.4315  3 Sm 3.21-3.52, 4 Th 3.33-3.45
Sm 0.9254 0.9254 0.5685  3 Sm 3.21-3.52, 4 Th 3.33-3.45
Er 0.3582 0.3582 0.1525  5 Th 3.48-3.71, 4 Er 3.52-3.77, 4 Sm 3.71
Er 0.6418 0.6418 0.8475  5 Th 3.48-3.71, 4 Er 3.52-3.77, 4 Sm 3.71
Th 0.0000 0.0000 0.0000  2 Sm 3.38, 6 Th 3.52-3.61, 4 Er 3.65
Th 0.2954 0.2954 0.7127  3 Sm 3.33-3.45, 3 Er 3.48-3.71, 4 Th 3.52-3.61
Th 0.7046 0.7046 0.2873  3 Sm 3.33-3.45, 3 Er 3.48-3.71, 4 Th 3.52-3.61

Calculated values
For the energy relative to the elements, the calculation gives 0.4 eV/f.u. As for the energy above the most stable polymorph in this dataset: 0.0000 eV/atom.

A plane-wave DFT calculation with PBE-GGA was carried out for a relaxed structure of Sm6Er5Th2.

abc: 11.6303 20.4873 3.6031
angles: 90.00 90.00 90.00
Closest atoms and distances in Å follow each position.
Fractional positions:
Sm 0.0719 0.0685 0.0000  5 Sm 3.27-3.60, 4 Er 3.48-3.57
Sm 0.0717 0.3583 0.0000  1 Th 3.38, 4 Sm 3.46-3.60, 6 Er 3.46-3.58
Sm 0.1809 0.6256 0.5000  2 Er 3.32, 6 Sm 3.46-3.60, 2 Th 3.52
Sm 0.3191 0.1256 0.5000  2 Er 3.32, 6 Sm 3.46-3.60, 2 Th 3.52
Sm 0.4281 0.5685 0.0000  5 Sm 3.27-3.60, 4 Er 3.48-3.57
Sm 0.4283 0.8583 0.0000  1 Th 3.38, 4 Sm 3.46-3.60, 6 Er 3.46-3.58
Sm 0.5717 0.1417 0.0000  1 Th 3.38, 4 Sm 3.46-3.60, 6 Er 3.46-3.58
Sm 0.5719 0.4315 0.0000  5 Sm 3.27-3.60, 4 Er 3.48-3.57
Sm 0.6809 0.8744 0.5000  2 Er 3.32, 6 Sm 3.46-3.60, 2 Th 3.52
Sm 0.8191 0.3744 0.5000  2 Er 3.32, 6 Sm 3.46-3.60, 2 Th 3.52
Sm 0.9283 0.6417 0.0000  1 Th 3.38, 4 Sm 3.46-3.60, 6 Er 3.46-3.58
Sm 0.9281 0.9315 0.0000  5 Sm 3.27-3.60, 4 Er 3.48-3.57
Er 0.0000 0.5000 0.5000  6 Sm 3.32-3.52, 2 Er 3.60
Er 0.0801 0.2139 0.5000  5 Sm 3.32-3.48, 4 Th 3.53-3.54, 2 Er 3.60
Er 0.1930 0.9289 0.5000  6 Sm 3.57-3.66, 3 Er 3.60-3.86, 2 Th 3.67
Er 0.3070 0.4289 0.5000  6 Sm 3.57-3.66, 3 Er 3.60-3.86, 2 Th 3.67
Er 0.4199 0.7139 0.5000  5 Sm 3.32-3.48, 4 Th 3.53-3.54, 2 Er 3.60
Er 0.5000 0.0000 0.5000  6 Sm 3.32-3.52, 2 Er 3.60
Er 0.5801 0.2861 0.5000  5 Sm 3.32-3.48, 4 Th 3.53-3.54, 2 Er 3.60
Er 0.6930 0.5711 0.5000  6 Sm 3.57-3.66, 3 Er 3.60-3.86, 2 Th 3.67
Er 0.8070 0.0711 0.5000  6 Sm 3.57-3.66, 3 Er 3.60-3.86, 2 Th 3.67
Er 0.9199 0.7861 0.5000  5 Sm 3.32-3.48, 4 Th 3.53-3.54, 2 Er 3.60
Th 0.1795 0.7731 0.0000  3 Sm 3.38-3.52, 6 Er 3.53-3.67, 2 Th 3.60
Th 0.3205 0.2731 0.0000  3 Sm 3.38-3.52, 6 Er 3.53-3.67, 2 Th 3.60
Th 0.6795 0.7269 0.0000  3 Sm 3.38-3.52, 6 Er 3.53-3.67, 2 Th 3.60
Th 0.8205 0.2269 0.0000  3 Sm 3.38-3.52, 6 Er 3.53-3.67, 2 Th 3.60

Calculated values
For the energy relative to the elements, the calculation gives 1.5 eV/f.u.

A plane-wave DFT calculation with PBE-GGA was carried out for a relaxed structure of SmEr5Th4.

abc: 6.7917 9.1157 11.0462
angles: 90.00 90.00 90.00
Closest atoms and distances in Å follow each position.
Fractional positions:
Sm 0.2500 0.2500 0.1093  8 Th 3.44-3.82, 4 Er 3.56
Sm 0.7500 0.7500 0.8907  8 Th 3.44-3.82, 4 Er 3.56
Er 0.0000 0.0630 0.3473  6 Er 3.40-3.56, 2 Th 3.45-3.62, 1 Sm 3.56
Er 0.0000 0.4370 0.3473  6 Er 3.40-3.56, 2 Th 3.45-3.62, 1 Sm 3.56
Er 0.0000 0.5630 0.6527  6 Er 3.40-3.56, 2 Th 3.45-3.62, 1 Sm 3.56
Er 0.0000 0.9370 0.6527  6 Er 3.40-3.56, 2 Th 3.45-3.62, 1 Sm 3.56
Er 0.2500 0.7500 0.4342  2 Th 3.39, 8 Er 3.41-3.46
Er 0.5000 0.0630 0.3473  6 Er 3.40-3.56, 2 Th 3.45-3.62, 1 Sm 3.56
Er 0.5000 0.4370 0.3473  6 Er 3.40-3.56, 2 Th 3.45-3.62, 1 Sm 3.56
Er 0.5000 0.5630 0.6527  6 Er 3.40-3.56, 2 Th 3.45-3.62, 1 Sm 3.56
Er 0.5000 0.9370 0.6527  6 Er 3.40-3.56, 2 Th 3.45-3.62, 1 Sm 3.56
Er 0.7500 0.2500 0.5658  2 Th 3.39, 8 Er 3.41-3.46
Th 0.0114 0.2500 0.8274  6 Th 3.24-3.55, 3 Er 3.39-3.45, 1 Sm 3.51
Th 0.2500 0.5677 0.9420  5 Th 3.32-3.55, 1 Sm 3.44, 2 Er 3.62
Th 0.2500 0.9323 0.9420  5 Th 3.32-3.55, 1 Sm 3.44, 2 Er 3.62
Th 0.4886 0.2500 0.8274  6 Th 3.24-3.55, 3 Er 3.39-3.45, 1 Sm 3.51
Th 0.5114 0.7500 0.1726  6 Th 3.24-3.55, 3 Er 3.39-3.45, 1 Sm 3.51
Th 0.7500 0.0677 0.0580  5 Th 3.32-3.55, 1 Sm 3.44, 2 Er 3.62
Th 0.7500 0.4323 0.0580  5 Th 3.32-3.55, 1 Sm 3.44, 2 Er 3.62
Th 0.9886 0.7500 0.1726  6 Th 3.24-3.55, 3 Er 3.39-3.45, 1 Sm 3.51

Calculated values
For the energy relative to the elements, the calculation gives 3.4 eV/f.u.

A plane-wave DFT calculation with PBE-GGA was carried out for a relaxed structure of Sm4Er3Th.

abc: 11.8655 11.8655 6.7854
angles: 106.37 106.37 16.74
Closest atoms and distances in Å follow each position.
Fractional positions:
Sm 0.1223 0.1223 0.3636  3 Er 3.26-3.52, 5 Sm 3.45-3.60, 2 Th 3.64
Sm 0.2588 0.2588 0.7652  7 Sm 3.45-3.75, 3 Er 3.51-3.56
Sm 0.7412 0.7412 0.2348  7 Sm 3.45-3.75, 3 Er 3.51-3.56
Sm 0.8777 0.8777 0.6364  3 Er 3.26-3.52, 5 Sm 3.45-3.60, 2 Th 3.64
Er 0.0000 0.0000 0.5000  2 Sm 3.26, 4 Er 3.28-3.45
Er 0.1226 0.1226 0.8829  5 Sm 3.26-3.56, 3 Er 3.28-3.45, 2 Th 3.63
Er 0.8774 0.8774 0.1171  5 Sm 3.26-3.56, 3 Er 3.28-3.45, 2 Th 3.63
Th 0.5000 0.5000 0.0000  2 Th 3.45, 8 Er 3.63-3.81, 4 Sm 3.64

Calculated values
For the energy relative to the elements, the calculation gives 1.4 eV/f.u. As for the energy above the most stable polymorph in this dataset: 0.1377 eV/atom.

A plane-wave DFT calculation with PBE-GGA was carried out for a relaxed structure of SmEr2Th.

abc: 11.6320 11.6320 11.6320
angles: 17.71 17.71 17.71
Closest atoms and distances in Å follow each position.
Fractional positions:
Sm 0.0000 0.0000 0.0000  6 Er 3.57-3.60, 6 Sm 3.58
Er 0.5808 0.5808 0.5808  3 Th 3.48, 6 Er 3.58, 3 Sm 3.60
Er 0.7513 0.7513 0.7513  3 Th 3.47, 3 Sm 3.57, 6 Er 3.58
Th 0.1658 0.1658 0.1658  6 Er 3.47-3.48, 6 Th 3.58

Calculated values
For the energy relative to the elements, the calculation gives 0.0 eV/f.u. As for the energy above the most stable polymorph in this dataset: 0.0170 eV/atom.

A plane-wave DFT calculation with PBE-GGA was carried out for a relaxed structure of Sm4Er7Th.

abc: 6.7442 6.7442 12.6758
angles: 115.27 115.27 52.04
Closest atoms and distances in Å follow each position.
Fractional positions:
Sm 0.0615 0.0615 0.3276  4 Er 3.26-3.55, 2 Sm 3.65
Sm 0.3617 0.3617 0.2232  7 Er 3.34-3.66, 2 Sm 3.65
Sm 0.6383 0.6383 0.7768  7 Er 3.34-3.66, 2 Sm 3.65
Sm 0.9385 0.9385 0.6724  4 Er 3.26-3.55, 2 Sm 3.65
Er 0.0000 0.0000 0.0000  2 Th 2.96, 2 Er 3.12
Er 0.2099 0.2099 0.9235  4 Er 3.12-3.42, 1 Th 3.17, 4 Sm 3.32-3.38
Er 0.2460 0.2460 0.6817  4 Er 3.28-3.58, 3 Sm 3.66-3.67
Er 0.3652 0.3652 0.4972  4 Er 3.24-3.58, 5 Sm 3.26-3.55
Er 0.6348 0.6348 0.5028  4 Er 3.24-3.58, 5 Sm 3.26-3.55
Er 0.7540 0.7540 0.3183  4 Er 3.28-3.58, 3 Sm 3.66-3.67
Er 0.7901 0.7901 0.0765  4 Er 3.12-3.42, 1 Th 3.17, 4 Sm 3.32-3.38
Th 0.5000 0.5000 0.0000  4 Er 2.96-3.17

Calculated values
For the energy relative to the elements, the calculation gives 3.6 eV/f.u. As for the energy above the most stable polymorph in this dataset: 0.2820 eV/atom.

A plane-wave DFT calculation with PBE-GGA was carried out for a relaxed structure of Sm3Er3Th.

abc: 8.8443 8.8443 8.8443
angles: 58.35 58.35 58.35
Closest atoms and distances in Å follow each position.
Fractional positions:
Sm 0.0655 0.2160 0.5718  4 Er 3.26-3.59, 1 Th 3.59, 2 Sm 3.61
Sm 0.2160 0.5718 0.0655  4 Er 3.26-3.59, 1 Th 3.59, 2 Sm 3.61
Sm 0.4282 0.9345 0.7840  4 Er 3.26-3.59, 1 Th 3.59, 2 Sm 3.61
Sm 0.5718 0.0655 0.2160  4 Er 3.26-3.59, 1 Th 3.59, 2 Sm 3.61
Sm 0.7840 0.4282 0.9345  4 Er 3.26-3.59, 1 Th 3.59, 2 Sm 3.61
Sm 0.9345 0.7840 0.4282  4 Er 3.26-3.59, 1 Th 3.59, 2 Sm 3.61
Er 0.2125 0.4379 0.6747  4 Er 3.24-3.45, 4 Sm 3.26-3.59, 1 Th 3.54
Er 0.3253 0.7875 0.5621  4 Er 3.24-3.45, 4 Sm 3.26-3.59, 1 Th 3.54
Er 0.4379 0.6747 0.2125  4 Er 3.24-3.45, 4 Sm 3.26-3.59, 1 Th 3.54
Er 0.5621 0.3253 0.7875  4 Er 3.24-3.45, 4 Sm 3.26-3.59, 1 Th 3.54
Er 0.6747 0.2125 0.4379  4 Er 3.24-3.45, 4 Sm 3.26-3.59, 1 Th 3.54
Er 0.7875 0.5621 0.3253  4 Er 3.24-3.45, 4 Sm 3.26-3.59, 1 Th 3.54
Th 0.1564 0.1564 0.1564  6 Er 3.54-3.74, 6 Sm 3.59-3.74
Th 0.8436 0.8436 0.8436  6 Er 3.54-3.74, 6 Sm 3.59-3.74

Calculated values
For the energy relative to the elements, the calculation gives 1.6 eV/f.u. As for the energy above the most stable polymorph in this dataset: 0.2055 eV/atom.

A plane-wave DFT calculation with PBE-GGA was carried out for a relaxed structure of Sm4Er2Th.

abc: 3.6054 3.6054 20.4824
angles: 95.19 95.19 59.97
Closest atoms and distances in Å follow each position.
Fractional positions:
Sm 0.0000 0.0000 0.0000  3 Er 3.52-3.54, 9 Sm 3.60-3.66
Sm 0.0900 0.0900 0.2802  6 Er 3.53-3.57, 6 Sm 3.60-3.61
Sm 0.5216 0.5216 0.5636  3 Er 3.55-3.57, 6 Sm 3.60-3.61, 3 Th 3.61
Sm 0.6176 0.6176 0.8521  3 Th 3.59-3.60, 9 Sm 3.60-3.66
Er 0.7106 0.7106 0.1397  6 Sm 3.52-3.54, 6 Er 3.60-3.61
Er 0.8025 0.8025 0.4217  6 Sm 3.55-3.57, 6 Er 3.60-3.61
Th 0.9030 0.9030 0.7085  6 Sm 3.59-3.61, 6 Th 3.60-3.61

Calculated values
For the energy relative to the elements, the calculation gives 0.3 eV/f.u. As for the energy above the most stable polymorph in this dataset: 0.0000 eV/atom.

| no. | E_tot (eV/cell) |
| --- | --- |
| 1 | -65.05 |
| 2 | -104.78 |
| 3 | -40.39 |
| 4 | -128.84 |
| 5 | -107.58 |
| 6 | -38.59 |
| 7 | -21.22 |
| 8 | -54.61 |
| 9 | -67.24 |
| 10 | -35.17 |